Compound: NpIF
Source: Alexandria
Functional: PBE
Structure: relaxed

Lattice parameters (Å, degrees): 4.1664 4.1664 4.9707 90.00 90.00 120.00
Closest atoms and distances in Å follow each position.
Element x y z (fractional)
1 Np 0.0000 0.0000 0.0000  3 F 2.41
2 I 0.3333 0.6667 0.5007  6 Np 3.46, 6 F 3.46
3 F 0.6667 0.3333 0.0012  3 Np 2.41

## Properties
Its density of states at the Fermi level is 3.244 states/eV per atom. Its calculated total energy is -21.37 eV per cell. The uncorrected formation energy comes out at -5.01 eV per formula unit. As for the calculated density: 8.51 g/cm3.

Compound: PmNd3Au3
Source: Alexandria
Functional: PBE
Structure: relaxed

Lattice parameters (Å, degrees): 7.3818 7.3818 7.4150 90.87 90.87 96.81
Closest atoms and distances in Å follow each position.
Element x y z (fractional)
1 Pm 0.2432 0.2432 0.3682  4 Au 2.93-3.20
2 Pm 0.7568 0.7568 0.6318  4 Au 2.93-3.20
3 Nd 0.1457 0.1457 0.8661  3 Au 3.07-3.14
4 Nd 0.2459 0.7541 0.5000  6 Au 3.15-3.21
5 Nd 0.3223 0.6777 0.0000  6 Au 3.00-3.17
6 Nd 0.6777 0.3223 0.0000  6 Au 3.00-3.17
7 Nd 0.7541 0.2459 0.5000  6 Au 3.15-3.21
8 Nd 0.8543 0.8543 0.1339  3 Au 3.07-3.14
9 Au 0.0056 0.5090 0.7719  1 Pm 2.93, 5 Nd 3.00-3.19
10 Au 0.4336 0.4336 0.6884  2 Pm 2.99-3.20, 5 Nd 3.09-3.21, 3 Au 3.11-3.34
11 Au 0.4910 0.9944 0.2281  1 Pm 2.93, 5 Nd 3.00-3.19
12 Au 0.5090 0.0056 0.7719  1 Pm 2.93, 5 Nd 3.00-3.19
13 Au 0.5664 0.5664 0.3116  2 Pm 2.99-3.20, 5 Nd 3.09-3.21, 3 Au 3.11-3.34
14 Au 0.9944 0.4910 0.2281  1 Pm 2.93, 5 Nd 3.00-3.19

## Properties
Its density of states at the Fermi level is 0.877 states/eV per atom. The formation energy is -0.586 eV per atom. Its calculated total energy is -65.98 eV per cell. As for the calculated density: 9.68 g/cm3.

> Among the records above, which one has the highest calculated density?

PmNd3Au3